1.
Density functional theory data (GGA-PBE) for crystalline ScFeC2 at its relaxed geometry. Values from VASP.

Its total energy is -8.03 eV per atom. The energy of formation is 0.285 eV per atom.

Structure (Quantum ESPRESSO input):
```
&SYSTEM
  ibrav = 0, nat = 8, ntyp = 3
/
ATOMIC_SPECIES
Sc 44.96 Sc.upf
C 12.01 C.upf
Fe 55.84 Fe.upf
CELL_PARAMETERS angstrom
4.496 0.000 0.000
0.000 4.496 0.000
2.248 2.248 4.895
ATOMIC_POSITIONS angstrom
Sc 2.248 2.248 0.000
Sc 2.248 4.496 2.448
C 3.781 1.124 1.224
C 0.714 3.372 1.224
C 3.372 2.962 3.672
C 5.619 6.029 3.672
Fe 0.000 0.000 0.000
Fe 4.496 2.248 2.448
```

2.
Density functional theory data (GGA-PBE) for crystalline Sc2FeC2 at its relaxed geometry. Values from VASP.

Its total energy is -8.31 eV per atom. The polymorph energy (0 for the lowest one) comes out at 0.0 meV/atom. The energy of formation is -0.392 eV per atom.

Structure (Quantum ESPRESSO input):
```
&SYSTEM
  ibrav = 0, nat = 20, ntyp = 3
/
ATOMIC_SPECIES
Sc 44.96 Sc.upf
Fe 55.84 Fe.upf
C 12.01 C.upf
CELL_PARAMETERS angstrom
-0.314 0.963 -4.583
1.242 -5.764 -1.296
-8.847 -1.950 0.196
ATOMIC_POSITIONS angstrom
Sc -4.339 -4.231 -4.197
Sc 0.438 -4.653 -2.209
Sc -3.580 -2.519 -1.486
Sc -8.357 -2.098 -3.474
Sc -2.723 0.017 -3.415
Sc -6.433 -4.022 -1.607
Sc -5.196 -6.768 -2.268
Sc -1.486 -2.729 -4.077
Fe -5.590 -1.789 -3.599
Fe -0.937 -1.636 -1.481
Fe -2.329 -4.961 -2.085
Fe -6.982 -5.115 -4.202
C -6.422 -3.378 -3.876
C -2.347 -0.542 -1.155
C -1.496 -3.373 -1.808
C -5.572 -6.209 -4.529
C 0.307 -4.121 -4.492
C -4.139 -4.747 -1.916
C -8.226 -2.629 -1.191
C -3.780 -2.003 -3.768
```

3.
Density functional theory data (GGA-PBE) for crystalline ScFeC2 at its relaxed geometry. Values from VASP.

Its total energy is -8.57 eV per atom. The energy of formation is -0.255 eV per atom.

Structure (Quantum ESPRESSO input):
```
&SYSTEM
  ibrav = 0, nat = 8, ntyp = 3
/
ATOMIC_SPECIES
Sc 44.96 Sc.upf
C 12.01 C.upf
Fe 55.84 Fe.upf
CELL_PARAMETERS angstrom
3.352 0.000 0.000
0.000 3.352 0.000
0.000 0.000 7.321
ATOMIC_POSITIONS angstrom
Sc 0.838 0.838 4.770
Sc 2.514 2.514 2.551
C 2.514 2.514 6.172
C 0.838 0.838 2.567
C 0.838 0.838 1.149
C 2.514 2.514 4.755
Fe 0.838 2.514 0.000
Fe 2.514 0.838 0.000
```

4.
Density functional theory data (GGA-PBE) for crystalline ScFeC2 at its relaxed geometry. Values from VASP.

Its total energy is -7.66 eV per atom. The energy of formation is 0.655 eV per atom.

Structure (Quantum ESPRESSO input):
```
&SYSTEM
  ibrav = 0, nat = 4, ntyp = 3
/
ATOMIC_SPECIES
Sc 44.96 Sc.upf
C 12.01 C.upf
Fe 55.84 Fe.upf
CELL_PARAMETERS angstrom
0.000 2.663 2.663
2.663 0.000 2.663
2.663 2.663 0.000
ATOMIC_POSITIONS angstrom
Sc 0.000 0.000 0.000
C 1.332 1.332 1.332
C 3.995 3.995 3.995
Fe 2.663 2.663 2.663
```

5.
Density functional theory data (GGA-PBE) for crystalline ScFeC2Se at its relaxed geometry. Values from VASP.

The calculation puts the formation energy without anion corrections at 1807 meV per atom. Its total energy is -5.54 eV per atom.

Structure (Quantum ESPRESSO input):
```
&SYSTEM
  ibrav = 0, nat = 5, ntyp = 4
/
ATOMIC_SPECIES
Sc 44.96 Sc.upf
C 12.01 C.upf
Fe 55.84 Fe.upf
Se 78.96 Se.upf
CELL_PARAMETERS angstrom
-3.764 -1.416 0.722
1.618 -3.121 2.315
-0.243 2.347 3.335
ATOMIC_POSITIONS angstrom
Sc -1.195 -1.095 3.186
C -0.122 1.174 1.668
C -1.882 -0.708 0.361
Fe 0.809 -1.561 1.157
Se 0.000 0.000 0.000
```

6.
Density functional theory data (GGA-PBE) for crystalline Sc3Fe9SiC2 at its relaxed geometry. Values from VASP.

The calculation puts the formation energy without anion corrections at -85 meV per atom. Its total energy is -8.02 eV per atom.

Structure (Quantum ESPRESSO input):
```
&SYSTEM
  ibrav = 0, nat = 15, ntyp = 4
/
ATOMIC_SPECIES
Sc 44.96 Sc.upf
Fe 55.84 Fe.upf
Si 28.09 Si.upf
C 12.01 C.upf
CELL_PARAMETERS angstrom
-3.611 2.945 3.092
3.611 -3.480 2.474
4.621 5.146 0.495
ATOMIC_POSITIONS angstrom
Sc 4.230 2.032 3.005
Sc 0.000 0.000 0.000
Sc 0.391 2.579 3.057
Fe 0.879 5.368 3.326
Fe 2.560 3.747 4.478
Fe 2.560 3.997 1.886
Fe 2.061 0.614 4.176
Fe 2.061 0.863 1.584
Fe 3.742 -0.757 2.736
Fe -1.806 1.472 1.546
Fe 1.805 -1.740 1.237
Fe 0.000 -0.268 2.783
Si 2.310 2.573 0.248
C 1.868 -0.599 2.752
C 2.753 5.210 3.310
```

Repeat the sixth record exactly.
Density functional theory data (GGA-PBE) for crystalline Sc3Fe9SiC2 at its relaxed geometry. Values from VASP.

The calculation puts the formation energy without anion corrections at -85 meV per atom. Its total energy is -8.02 eV per atom.

Structure (Quantum ESPRESSO input):
```
&SYSTEM
  ibrav = 0, nat = 15, ntyp = 4
/
ATOMIC_SPECIES
Sc 44.96 Sc.upf
Fe 55.84 Fe.upf
Si 28.09 Si.upf
C 12.01 C.upf
CELL_PARAMETERS angstrom
-3.611 2.945 3.092
3.611 -3.480 2.474
4.621 5.146 0.495
ATOMIC_POSITIONS angstrom
Sc 4.230 2.032 3.005
Sc 0.000 0.000 0.000
Sc 0.391 2.579 3.057
Fe 0.879 5.368 3.326
Fe 2.560 3.747 4.478
Fe 2.560 3.997 1.886
Fe 2.061 0.614 4.176
Fe 2.061 0.863 1.584
Fe 3.742 -0.757 2.736
Fe -1.806 1.472 1.546
Fe 1.805 -1.740 1.237
Fe 0.000 -0.268 2.783
Si 2.310 2.573 0.248
C 1.868 -0.599 2.752
C 2.753 5.210 3.310
```

> Which value of total energy does entry 5 give?

-5.54 eV per atom

> Among the records above, which one has the lowest total energy?

number 3

> What is the total energy in the first record?

-8.03 eV per atom